(1)
A plane-wave DFT calculation with meta-GGA SCAN was carried out for a crystal of RuPtS2 relaxed with PBEsol.

Raw formation energy   -175 meV per atom
Energy relative to the lowest polymorph listed for this composition   0.00 eV/f.u.
V   194.9 Å³/cell

Unit cell a=3.2041 b=3.2041 c=21.9174 alpha=90.00 beta=90.00 gamma=120.00
Space group R-3m (No. 166, hexagonal axes)
One atom of each set of equivalent atoms:
Ru 0.0000 0.0000 0.0000
Pt 0.0000 0.0000 0.5000
S 0.0000 0.0000 0.3983

***

(2)
A plane-wave DFT calculation with meta-GGA SCAN was carried out for a crystal of TePPt3 relaxed with PBEsol.

Raw formation energy   259 meV per atom
V   93.2 Å³/cell

Unit cell a=4.5334 b=4.5334 c=4.5334 alpha=90.00 beta=90.00 gamma=90.00
Space group Pm-3m (No. 221)
One atom of each set of equivalent atoms:
Te 0.0000 0.0000 0.0000
P 0.5000 0.5000 0.5000
Pt 0.0000 0.5000 0.5000

***

(3)
A plane-wave DFT calculation with meta-GGA SCAN was carried out for a crystal of V4P7O24 relaxed with PBEsol.

Raw formation energy   -2521 meV per atom
V   868.4 Å³/cell

Unit cell a=10.0686 b=10.1810 c=10.6288 alpha=108.71 beta=111.63 gamma=104.83
Space group P-1 (No. 2)
One atom of each set of equivalent atoms:
V 0.0015 0.1074 0.2582
V 0.0106 0.6640 0.8852
V 0.4863 0.8317 0.4118
V 0.4991 0.6112 0.9264
P 0.2324 0.1762 0.1133
P 0.2391 0.9668 0.2422
P 0.2500 0.5433 0.0530
P 0.2510 0.6083 0.4761
P 0.2728 0.7781 0.7722
P 0.3031 0.0595 0.7402
P 0.3108 0.3769 0.5659
O 0.1074 0.4987 0.3253
O 0.1209 0.2173 0.1742
O 0.1251 0.9835 0.6683
O 0.1304 0.0036 0.3020
O 0.1342 0.2800 0.4564
O 0.1364 0.4147 0.0580
O 0.1357 0.7810 0.8031
O 0.1373 0.0555 0.9483
O 0.1509 0.5721 0.9248
O 0.1554 0.8242 0.0931
O 0.1890 0.6598 0.5952
O 0.3191 0.1057 0.2145
O 0.3469 0.4417 0.7312
O 0.3469 0.6846 0.2088
O 0.3529 0.7534 0.4885
O 0.3547 0.0707 0.6263
O 0.3559 0.5254 0.5347
O 0.3645 0.3172 0.1499
O 0.3663 0.9419 0.7945
O 0.3720 0.4985 0.0091
O 0.3811 0.2110 0.8818
O 0.3826 0.9745 0.3718
O 0.3849 0.7357 0.8684
O 0.4127 0.2986 0.5358

***

(4)
A plane-wave DFT calculation with meta-GGA SCAN was carried out for a crystal of BaCaBi relaxed with PBEsol.

ΔH_f (0 K)   -0.94 eV per atom
V   458.3 Å³/cell

Unit cell a=5.0260 b=5.0260 c=18.1438 alpha=90.00 beta=90.00 gamma=90.00
Space group I4/mmm (No. 139)
One atom of each set of equivalent atoms:
Ba 0.0000 0.0000 0.1736
Ca 0.0000 0.5000 0.0000
Bi 0.0000 0.0000 0.3741

***

(5)
A plane-wave DFT calculation with meta-GGA SCAN was carried out for a crystal of Ba3HfGe relaxed with PBEsol.

ΔH_f (0 K)   0.63 eV per atom
V   240.1 Å³/cell

Unit cell a=6.2150 b=6.2150 c=6.2150 alpha=90.00 beta=90.00 gamma=90.00
Space group Pm-3m (No. 221)
One atom of each set of equivalent atoms:
Ba 0.0000 0.0000 0.5000
Hf 0.5000 0.5000 0.5000
Ge 0.0000 0.0000 0.0000

***

(6)
A plane-wave DFT calculation with meta-GGA SCAN was carried out for a crystal of KWCl relaxed with PBEsol.

Raw formation energy   713 meV per atom
V   236.6 Å³/cell

Unit cell a=3.0487 b=5.1862 c=14.9673 alpha=90.00 beta=90.00 gamma=90.00
Space group Fmm2 (No. 42)
One atom of each set of equivalent atoms:
K 0.0000 0.0000 0.0000
W 0.0000 0.0000 0.7001
Cl 0.0000 0.0000 0.3343

***

(7)
A plane-wave DFT calculation with meta-GGA SCAN was carried out for a crystal of BaZn relaxed with PBEsol.

ΔH_f (0 K)   -0.11 eV per atom
V   813.3 Å³/cell

Unit cell a=10.7790 b=10.0068 c=7.5405 alpha=90.00 beta=90.00 gamma=90.00
Space group Pbcm (No. 57)
One atom of each set of equivalent atoms:
Ba 0.1108 0.2500 0.0000
Ba 0.2235 0.6286 0.2500
Ba 0.3766 0.0035 0.2500
Zn 0.0665 0.5408 0.7500
Zn 0.3701 0.1703 0.7500
Zn 0.4851 0.7500 0.0000

***

(8)
A plane-wave DFT calculation with meta-GGA SCAN was carried out for a crystal of KMn2Ag relaxed with PBEsol.

Energy relative to the lowest polymorph listed for this composition   1.11 eV/f.u.
ΔH_f (0 K)   0.69 eV per atom
V   160.5 Å³/cell

Unit cell a=4.2589 b=4.2589 c=8.8463 alpha=90.00 beta=90.00 gamma=90.00
Space group I-4m2 (No. 119)
One atom of each set of equivalent atoms:
K 0.0000 0.0000 0.0000
Mn 0.0000 0.0000 0.5000
Mn 0.0000 0.5000 0.2500
Ag 0.0000 0.5000 0.7500

***

(9)
A plane-wave DFT calculation with meta-GGA SCAN was carried out for a crystal of EuZnPb relaxed with PBEsol.

ΔH_f (0 K)   -0.53 eV per atom
V   300.8 Å³/cell

Unit cell a=11.4074 b=4.5985 c=7.5309 alpha=90.00 beta=130.42 gamma=90.00
Space group C2/m (No. 12)
One atom of each set of equivalent atoms:
Eu 0.0528 0.0000 0.3035
Zn 0.1401 0.5000 0.0927
Pb 0.1782 0.5000 0.7440

***

(10)
A plane-wave DFT calculation with meta-GGA SCAN was carried out for a crystal of H3S relaxed with PBEsol.

Final energy   -321.59 eV per cell
V   740.8 Å³/cell

Unit cell a=11.3257 b=12.4540 c=5.2520 alpha=90.00 beta=90.00 gamma=90.00
Space group Cccm (No. 66)
One atom of each set of equivalent atoms:
H 0.0000 0.0000 0.1774
H 0.0337 0.5000 0.2500
H 0.1552 0.2983 0.0000
H 0.1697 0.1554 0.2503
H 0.1742 0.3264 0.5000
S 0.0966 0.2034 0.0000
S 0.2376 0.0999 0.5000

***

(11)
A plane-wave DFT calculation with meta-GGA SCAN was carried out for a crystal of BiRu2Rh2 relaxed with PBEsol.

ΔH_f (0 K)   0.53 eV per atom
V   171.1 Å³/cell

Unit cell a=3.9519 b=3.9519 c=10.9526 alpha=90.00 beta=90.00 gamma=90.00
Space group I4/mmm (No. 139)
One atom of each set of equivalent atoms:
Bi 0.0000 0.0000 0.0000
Ru 0.0000 0.0000 0.3953
Rh 0.0000 0.5000 0.2500

***

(12)
A plane-wave DFT calculation with meta-GGA SCAN was carried out for a crystal of Sr4Ca4TiMn7O24 relaxed with PBEsol.

Raw formation energy   -2764 meV per atom
V   859.9 Å³/cell

Unit cell a=10.6528 b=10.6534 c=7.5774 alpha=90.00 beta=90.07 gamma=90.00
Space group Cm (No. 8)
One atom of each set of equivalent atoms:
Sr 0.0000 0.0000 0.0000
Sr 0.0002 0.5000 0.4978
Sr 0.2510 0.2497 0.4952
Ca 0.0007 0.0000 0.5408
Ca 0.2427 0.2574 0.0001
Ca 0.4970 0.0000 0.0396
Ti 0.2540 0.0000 0.7586
Mn 0.9998 0.2529 0.7562
Mn 0.2444 0.5000 0.7553
Mn 0.2460 0.0000 0.2511
Mn 0.2527 0.5000 0.2544
Mn 0.4985 0.2538 0.2520
O 0.0077 0.2814 0.9947
O 0.1238 0.1285 0.7693
O 0.1260 0.3760 0.2694
O 0.1278 0.3732 0.7131
O 0.1302 0.1300 0.2119
O 0.2165 0.5000 0.9929
O 0.2239 0.0000 0.4907
O 0.2736 0.0000 0.0025
O 0.2840 0.5000 0.4924
O 0.3708 0.3702 0.2064
O 0.3735 0.3731 0.7777
O 0.3774 0.1275 0.7260
O 0.3785 0.1235 0.2677
O 0.4984 0.2818 0.4922

***

(13)
A plane-wave DFT calculation with meta-GGA SCAN was carried out for a crystal of LiSiRh2 relaxed with PBEsol.

Raw formation energy   -449 meV per atom
V   48.9 Å³/cell

Unit cell a=2.9930 b=2.9930 c=5.4622 alpha=90.00 beta=90.00 gamma=90.00
Space group P4mm (No. 99)
One atom of each set of equivalent atoms:
Li 0.0000 0.0000 0.0000
Si 0.5000 0.5000 0.7581
Rh 0.0000 0.0000 0.5349
Rh 0.5000 0.5000 0.1993

***

(14)
A plane-wave DFT calculation with meta-GGA SCAN was carried out for a crystal of AlCrW2C relaxed with PBEsol.

ΔH_f (0 K)   1.61 eV per atom
V   75.6 Å³/cell

Unit cell a=4.5821 b=4.5821 c=3.6020 alpha=90.00 beta=90.00 gamma=90.00
Space group P4/mmm (No. 123)
One atom of each set of equivalent atoms:
Al 0.0000 0.0000 0.0000
Cr 0.5000 0.5000 0.5000
W 0.0000 0.5000 0.5000
C 0.5000 0.5000 0.0000

***

(15)
A plane-wave DFT calculation with meta-GGA SCAN was carried out for a crystal of Te2Mo3WS6 relaxed with PBEsol.

Raw formation energy   -693 meV per atom
V   232.4 Å³/cell

Unit cell a=3.2198 b=3.2198 c=25.8887 alpha=90.00 beta=90.00 gamma=120.00
Space group P3m1 (No. 156)
One atom of each set of equivalent atoms:
Te 0.0000 0.0000 0.0000
Te 0.0000 0.0000 0.1487
Mo 0.0000 0.0000 0.3327
Mo 0.0000 0.0000 0.8153
Mo 0.6667 0.3333 0.0743
W 0.6667 0.3333 0.5733
S 0.0000 0.0000 0.5137
S 0.0000 0.0000 0.6328
S 0.6667 0.3333 0.2736
S 0.6667 0.3333 0.3918
S 0.6667 0.3333 0.7562
S 0.6667 0.3333 0.8745

***

(16)
A plane-wave DFT calculation with meta-GGA SCAN was carried out for a crystal of MnCoO2 relaxed with PBEsol.

Raw formation energy   -1386 meV per atom
V   118.4 Å³/cell

Unit cell a=2.8387 b=2.8387 c=16.9623 alpha=90.00 beta=90.00 gamma=120.00
Space group R-3m (No. 166, hexagonal axes)
One atom of each set of equivalent atoms:
Mn 0.0000 0.0000 0.0000
Co 0.0000 0.0000 0.5000
O 0.0000 0.0000 0.1096

***

(17)
A plane-wave DFT calculation with meta-GGA SCAN was carried out for a crystal of Li2Zr2O5 relaxed with PBEsol.

Raw formation energy   -3181 meV per atom
Energy relative to the lowest polymorph listed for this composition   0.00 eV/f.u.
V   396.4 Å³/cell

Unit cell a=10.3416 b=3.7708 c=12.8950 alpha=90.00 beta=127.97 gamma=90.00
Space group P2_1/c (No. 14)
One atom of each set of equivalent atoms:
Li 0.0062 0.2432 0.4235
Li 0.0813 0.7274 0.3294
Zr 0.3199 0.7190 0.1243
Zr 0.3270 0.1928 0.3538
O 0.0909 0.7461 0.4835
O 0.1333 0.2304 0.3438
O 0.2598 0.7100 0.2598
O 0.3833 0.2160 0.2061
O 0.4125 0.7128 0.0181

***

(18)
A plane-wave DFT calculation with meta-GGA SCAN was carried out for a crystal of ZnTc2HgGe relaxed with PBEsol.

ΔH_f (0 K)   1.02 eV per atom
V   93.4 Å³/cell

Unit cell a=4.5918 b=4.5918 c=4.4320 alpha=90.00 beta=90.00 gamma=90.00
Space group P4/mmm (No. 123)
One atom of each set of equivalent atoms:
Zn 0.0000 0.0000 0.0000
Tc 0.0000 0.5000 0.5000
Hg 0.5000 0.5000 0.0000
Ge 0.0000 0.0000 0.5000